Material: Cs2PuBr5
Method: DFT, PBE
State: optimized geometry

```
Cs2PuBr5
1.0
8.051 0.000 0.000
0.000 10.359 0.000
0.000 0.000 16.388
Cs Pu Br
8 4 20
direct
0.750 0.534 0.293 Cs
0.250 0.466 0.707 Cs
0.250 0.966 0.793 Cs
0.750 0.034 0.207 Cs
0.750 0.834 0.583 Cs
0.250 0.166 0.417 Cs
0.250 0.666 0.083 Cs
0.750 0.334 0.917 Cs
0.750 0.817 0.938 Pu
0.250 0.183 0.062 Pu
0.250 0.683 0.438 Pu
0.750 0.317 0.562 Pu
0.750 0.716 0.102 Br
0.250 0.284 0.898 Br
0.250 0.784 0.602 Br
0.750 0.216 0.398 Br
0.492 0.654 0.885 Br
0.508 0.346 0.115 Br
0.508 0.846 0.385 Br
0.992 0.346 0.115 Br
0.492 0.154 0.615 Br
0.008 0.654 0.885 Br
0.008 0.154 0.615 Br
0.992 0.846 0.385 Br
0.500 0.000 0.000 Br
0.500 0.500 0.500 Br
0.000 0.000 0.000 Br
0.000 0.500 0.500 Br
0.750 0.968 0.794 Br
0.250 0.032 0.206 Br
0.250 0.532 0.294 Br
0.750 0.468 0.706 Br
```

Output
- magnetization (Bohr magnetons per cell) = 20.000
- space-group type = No. 62
- E (eV per atom) = -4.750
- ΔE_f (raw) (eV per atom) = -1.70

***

Material: NbTc2BiSb
Method: DFT, PBE
State: optimized geometry

```
NbTc2BiSb
1.0
-0.652 -1.305 4.637
0.697 -4.656 -1.213
5.199 0.547 0.885
Sb Nb Bi Tc
1 1 1 2
direct
0.000 0.000 0.500 Sb
0.000 0.000 0.000 Nb
0.500 0.500 0.500 Bi
0.000 0.500 0.000 Tc
0.500 0.000 0.000 Tc
```

Output
- magnetization (Bohr magnetons per cell) = 2.817
- space-group type = No. 123
- E (eV per atom) = -6.489
- ΔE_f (raw) (eV per atom) = 1.27

***

Material: Co2MoRh2
Method: DFT, PBE
State: optimized geometry

```
Co2MoRh2
1.0
7.103 0.000 0.000
0.000 7.103 0.000
0.000 0.000 2.689
Co Mo Rh
4 2 4
direct
0.168 0.668 0.500 Co
0.668 0.832 0.500 Co
0.832 0.332 0.500 Co
0.332 0.168 0.500 Co
0.000 0.000 0.000 Mo
0.500 0.500 0.000 Mo
0.370 0.870 0.000 Rh
0.870 0.630 0.000 Rh
0.630 0.130 0.000 Rh
0.130 0.370 0.000 Rh
```

Output
- energy relative to the elements (eV/atom) = 0.20
- magnetization (Bohr magnetons per cell) = 6.402
- space-group type = No. 127
- E (eV per atom) = -7.744

***

Material: CsTi2I8
Method: DFT, PBE
State: optimized geometry

```
CsTi2I8
1.0
-6.366 -0.064 5.847
-4.341 -7.309 -4.807
7.963 -3.027 2.247
Cs Ti I
1 2 8
direct
0.000 0.000 0.000 Cs
0.203 0.694 0.406 Ti
0.797 0.306 0.594 Ti
0.111 0.225 0.735 I
0.377 0.775 0.265 I
0.168 0.417 0.335 I
0.832 0.583 0.665 I
0.623 0.225 0.735 I
0.889 0.775 0.265 I
0.379 0.817 0.759 I
0.621 0.183 0.241 I
```

Output
- magnetization (Bohr magnetons per cell) = 1.001
- space-group type = No. 12
- E (eV per atom) = -3.508
- ΔE_f (raw) (eV per atom) = -0.87

***

Material: In2Ge2Br
Method: DFT, PBE
State: optimized geometry

```
In2Ge2Br
1.0
4.090 0.000 0.000
0.000 4.090 0.000
2.045 2.045 7.608
Ge Br In
2 1 2
direct
0.750 0.250 0.500 Ge
0.250 0.750 0.500 Ge
0.000 0.000 0.000 Br
0.399 0.399 0.202 In
0.601 0.601 0.798 In
```

Output
- magnetization (Bohr magnetons per cell) = 0.000
- space-group type = No. 139
- E (eV per atom) = -3.262
- ΔE_f (raw) (eV per atom) = 0.01

***

Material: CaTe2Ru
Method: DFT, PBE
State: optimized geometry

```
CaTe2Ru
1.0
-3.991 2.416 1.178
0.053 -1.687 3.637
3.182 3.433 3.743
Ru Ca Te
1 1 2
direct
0.500 0.925 0.777 Ru
0.000 0.572 0.480 Ca
0.000 0.852 0.922 Te
0.500 0.151 0.321 Te
```

Output
- magnetization (Bohr magnetons per cell) = 0.000
- space-group type = No. 6
- E (eV per atom) = -4.717
- ΔE_f (raw) (eV per atom) = -0.33

***

Material: PrThIrBr
Method: DFT, PBE
State: optimized geometry

```
PrThIrBr
1.0
4.202 -0.001 -0.001
-2.101 3.639 0.001
-2.102 -1.211 7.980
Pr Th Ir Br
1 1 1 1
direct
0.509 0.152 0.677 Pr
0.093 0.944 0.053 Th
0.311 0.554 0.880 Ir
0.965 0.381 0.360 Br
```

Output
- magnetization (Bohr magnetons per cell) = 0.000
- space-group type = No. 160
- E (eV per atom) = -6.760
- ΔE_f (raw) (eV per atom) = -1.08

***

Material: La2USe5
Method: DFT, PBE
State: optimized geometry

```
La2USe5
1.0
-3.089 5.109 -5.218
-7.034 0.677 4.827
5.221 9.559 6.268
La U Se
8 4 20
direct
0.530 0.500 0.323 La
0.970 0.000 0.823 La
0.470 0.000 0.677 La
0.030 0.500 0.177 La
0.470 0.500 0.677 La
0.030 0.000 0.177 La
0.530 0.000 0.323 La
0.970 0.500 0.823 La
0.069 0.750 0.492 U
0.431 0.750 0.992 U
0.931 0.250 0.508 U
0.569 0.250 0.008 U
0.835 0.958 0.593 Se
0.665 0.542 0.093 Se
0.165 0.458 0.407 Se
0.335 0.042 0.907 Se
0.165 0.042 0.407 Se
0.335 0.458 0.907 Se
0.835 0.542 0.593 Se
0.665 0.958 0.093 Se
0.835 0.750 0.313 Se
0.665 0.750 0.813 Se
0.165 0.250 0.687 Se
0.335 0.250 0.187 Se
0.453 0.750 0.499 Se
0.047 0.750 0.999 Se
0.547 0.250 0.501 Se
0.953 0.250 0.001 Se
0.190 0.750 0.714 Se
0.310 0.750 0.214 Se
0.810 0.250 0.286 Se
0.690 0.250 0.786 Se
```

Output
- magnetization (Bohr magnetons per cell) = 8.005
- space-group type = No. 62
- E (eV per atom) = -6.555
- ΔE_f (raw) (eV per atom) = -1.73

***

Question: Which value of E does entry 7 give?
Answer: -6.760 eV per atom

***

Question: The highest E belongs to which entry?
Answer: In2Ge2Br

***

Question: Which value of magnetization does entry 5 give?
Answer: 0.000 Bohr magnetons per cell

***

Question: Among the records above, which one has the lowest E?
Answer: Co2MoRh2